Entry 1:
A plane-wave DFT calculation with PBE was carried out for an optimized crystal structure of PmPr4Ho4.

Total magnetization ... 0.0 μB per formula unit
Formation energy ... 0.191 eV/f.u.
Energy ... -41.99 eV for the cell shown

Cell lengths 5.1202, 8.1055, 8.1055 Å; angles 84.27, 71.59, 71.59 degrees
Sites, in units of the cell vectors:
Ho: 0.0000 0.6635 0.3365
Ho: 0.0000 0.3365 0.6635
Ho: 0.6635 0.3365 0.3365
Ho: 0.3365 0.6635 0.6635
Pr: 0.6675 0.6651 0.0000
Pr: 0.6675 0.0000 0.6651
Pr: 0.3325 0.3349 0.0000
Pr: 0.3325 0.0000 0.3349
Pm: 0.0000 0.0000 0.0000



Entry 2:
A plane-wave DFT calculation with PBE was carried out for an optimized crystal structure of PaAl2Pb.

ΔE to the lowest computed polymorph ... 0.000 eV/atom
Total magnetization ... 0.0 μB per formula unit
Formation energy ... -0.366 eV/f.u.
Energy ... -21.06 eV for the cell shown

Cell lengths 4.3830, 4.5294, 4.5294 Å; angles 90.00, 90.00, 90.00 degrees
Sites, in units of the cell vectors:
Al: 0.0000 0.0000 0.5000
Al: 0.0000 0.5000 0.0000
Pa: 0.5000 0.5000 0.5000
Pb: 0.5000 0.0000 0.0000



Entry 3:
A plane-wave DFT calculation with PBE was carried out for an optimized crystal structure of NdPaH3.

Total magnetization ... 0.0 μB per formula unit
Energy ... -24.89 eV for the cell shown

Cell lengths 4.1864, 4.1864, 4.1864 Å; angles 90.00, 90.00, 90.00 degrees
Sites, in units of the cell vectors:
H: 0.0000 0.0000 0.5000
H: 0.0000 0.5000 0.0000
H: 0.5000 0.0000 0.0000
Nd: 0.5000 0.5000 0.5000
Pa: 0.0000 0.0000 0.0000



Entry 4:
A plane-wave DFT calculation with PBE was carried out for an optimized crystal structure of Tm5In2Ir.

ΔE to the lowest computed polymorph ... 0.000 eV/atom
Total magnetization ... 0.0 μB per formula unit
Formation energy ... -4.216 eV/f.u.
Energy ... -81.82 eV for the cell shown

Cell lengths 4.8271, 6.8807, 12.3973 Å; angles 90.00, 90.00, 90.00 degrees
Sites, in units of the cell vectors:
In: 0.5000 0.1037 0.8396
In: 0.5000 0.8963 0.1604
In: 0.5000 0.3963 0.3396
In: 0.5000 0.6037 0.6604
Tm: 0.0000 0.8768 0.7116
Tm: 0.0000 0.5000 0.5000
Tm: 0.5000 0.6734 0.9155
Tm: 0.5000 0.3266 0.0845
Tm: 0.0000 0.0000 0.0000
Tm: 0.5000 0.8266 0.4155
Tm: 0.5000 0.1734 0.5845
Tm: 0.0000 0.6232 0.2116
Tm: 0.0000 0.1232 0.2884
Tm: 0.0000 0.3768 0.7884
Ir: 0.0000 0.5000 0.0000
Ir: 0.0000 0.0000 0.5000



Question: What is the total magnetization in the third record?
Answer: 0.0 μB per formula unit